# 1
Computed, not measured: crystalline LiCoBPt at its relaxed geometry at the PBE-GGA level of DFT.

Computed properties:
- energy relative to the lowest polymorph listed for this composition (eV per atom) = 0.000
- space-group type = No. 216
- E_tot (eV/atom) = -5.569
- total magnetic moment (μB per cell) = 0.00

Cell lengths 3.819, 3.819, 3.819 Å; angles 60.00, 60.00, 60.00 degrees
Positions (direct):
1 Li 0.000 0.000 0.000
2 Co 0.750 0.750 0.750
3 B 0.500 0.500 0.500
4 Pt 0.250 0.250 0.250

---

# 2
Computed, not measured: crystalline LiScCoB at its relaxed geometry at the PBE-GGA level of DFT.

Computed properties:
- energy relative to the lowest polymorph listed for this composition (eV per atom) = 0.000
- space-group type = No. 216
- E_tot (eV/atom) = -5.464
- total magnetic moment (μB per cell) = 0.06

Cell lengths 3.993, 3.993, 3.993 Å; angles 60.00, 60.00, 60.00 degrees
Positions (direct):
1 Li 0.000 0.000 0.000
2 Sc 0.750 0.750 0.750
3 Co 0.250 0.250 0.250
4 B 0.500 0.500 0.500